[1]
A PBEsol-optimized structure of La2Os. Source: the Alexandria database, functional meta-GGA SCAN.

abc: 4.9066 4.9066 4.9066
angles: 60.00 60.00 60.00
Closest atoms and distances in Å follow each position.
Element x y z (fractional)
Os 0.0000 0.0000 0.0000  8 La 3.00
La 0.7500 0.7500 0.7500  4 Os 3.00
La 0.2500 0.2500 0.2500  4 Os 3.00

DFT formation energy = -0.254 eV per atom



[2]
A PBEsol-optimized structure of TlSi2H. Source: the Alexandria database, functional meta-GGA SCAN.

abc: 4.5365 4.5365 4.5365
angles: 60.00 60.00 60.00
Closest atoms and distances in Å follow each position.
Element x y z (fractional)
H 0.0000 0.0000 0.0000  8 Si 2.78
Tl 0.5000 0.5000 0.5000  8 Si 2.78
Si 0.2500 0.2500 0.2500  4 Tl 2.78, 4 H 2.78
Si 0.7500 0.7500 0.7500  4 Tl 2.78, 4 H 2.78

raw total energy = -91.232 eV for the cell shown



[3]
A PBEsol-optimized structure of BaCa2La. Source: the Alexandria database, functional meta-GGA SCAN.

abc: 3.7386 3.7386 12.6882
angles: 90.00 90.00 110.60
Closest atoms and distances in Å follow each position.
Element x y z (fractional)
Ca 0.0000 0.0000 0.2621  2 La 3.69, 4 Ca 3.74, 2 Ba 3.95
Ca 0.0000 0.0000 0.7379  2 La 3.69, 4 Ca 3.74, 2 Ba 3.95
Ba 0.5000 0.5000 0.0000  4 Ba 3.74, 4 Ca 3.95
La 0.5000 0.5000 0.5000  4 Ca 3.69, 4 La 3.74

DFT formation energy = 0.099 eV per atom
polymorph energy (0 for the lowest one) = 16.6 meV/atom



[4]
A PBEsol-optimized structure of MgGaPO2. Source: the Alexandria database, functional meta-GGA SCAN.

abc: 3.7556 3.7556 5.1080
angles: 90.00 90.00 90.00
Closest atoms and distances in Å follow each position.
Element x y z (fractional)
P 0.0000 0.0000 0.5000  2 Ga 2.55, 4 Mg 2.66
Mg 0.5000 0.5000 0.5000  4 P 2.66
O 0.0000 0.5000 0.0000  2 Ga 1.88
O 0.5000 0.0000 0.0000  2 Ga 1.88
Ga 0.0000 0.0000 0.0000  4 O 1.88

uncorrected formation energy = -0.596 eV per atom
polymorph energy (0 for the lowest one) = 0.0 meV/atom



| no. | total moment (μB/atom) | mass density (g/cm3) |
| --- | --- | --- |
| 1 | 0.0000 | 9.31 |
| 2 | 0.0000 | 6.58 |
| 3 | 0.0468 | 3.56 |
| 4 | 0.3984 | 3.62 |